Compound: Zr4AlIr
Source: Alexandria via LeMat-Bulk
Functional: PBE-GGA
Structure: optimized geometry

Geometry as extended XYZ:
```
6
Lattice="5.3011 -0.1766 -1.3864 -3.1970 4.2323 -1.3864 0.0916 0.1766 5.4786" Properties=species:S:1:pos:R:3 pbc="T T T"
Zr 2.8586 0.3127 0.0512
Zr 3.5862 1.7151 2.6547
Al 1.0520 2.0278 -1.3864
Zr -2.3783 3.9196 1.3529
Ir 0.0000 0.0000 0.0000
Zr 0.3250 2.5171 1.3529
```

- crystal system = tetragonal
- energy relative to the elements (eV/atom) = -0.48
- SG = I422 (97)
- size of the total moment (μB per atom) = 0.00
- ΔE to the lowest computed polymorph (meV/atom) = 0

---

Compound: LaTa2Pb
Source: Alexandria via LeMat-Bulk
Functional: PBE-GGA
Structure: optimized geometry

Geometry as extended XYZ:
```
4
Lattice="6.0681 -0.0010 0.0000 2.8711 5.3459 0.0000 -3.9880 -3.4780 2.9701" Properties=species:S:1:pos:R:3 pbc="T T T"
Ta 0.3036 0.1815 0.0000
La 4.3144 2.5797 0.0000
Ta 1.4371 2.1271 1.4851
Pb 3.3657 -0.3489 1.4850
```

- crystal system = orthorhombic
- energy relative to the elements (eV/atom) = 0.46
- SG = Imm2 (44)
- size of the total moment (μB per atom) = 0.00

---

Compound: MgMoAu2
Source: Alexandria via LeMat-Bulk
Functional: PBE-GGA
Structure: optimized geometry

Geometry as extended XYZ:
```
4
Lattice="-3.2691 -2.9046 1.4789 1.1207 -3.5207 2.7675 -1.2945 0.0445 4.4309" Properties=species:S:1:pos:R:3 pbc="T T T"
Au 0.0000 0.0000 0.0000
Mg -1.7214 -3.1904 4.3386
Mo -2.5821 -4.7856 6.5080
Au -0.8607 -1.5952 2.1693
```

- crystal system = cubic
- energy relative to the elements (eV/atom) = 0.22
- SG = F-43m (216)
- size of the total moment (μB per atom) = 0.49

---

Compound: HfCo2NiB
Source: Alexandria via LeMat-Bulk
Functional: PBE-GGA
Structure: optimized geometry

Geometry as extended XYZ:
```
5
Lattice="-1.1284 -3.7003 -0.1555 3.4643 -0.9970 -1.4124 1.3177 -0.5541 3.6232" Properties=species:S:1:pos:R:3 pbc="T T T"
Ni 0.6588 -0.2770 1.8116
Co 1.7321 -0.4985 -0.7062
Co -0.5642 -1.8502 -0.0778
Hf 1.8268 -2.6257 1.0276
B 0.0000 0.0000 0.0000
```

- crystal system = tetragonal
- energy relative to the elements (eV/atom) = -0.40
- SG = P4/mmm (123)
- size of the total moment (μB per atom) = 0.00

---

Compound: SrCaAu4
Source: Alexandria via LeMat-Bulk
Functional: PBE-GGA
Structure: optimized geometry

Geometry as extended XYZ:
```
6
Lattice="4.3341 0.0037 1.5960 2.1041 5.6822 0.9687 0.2315 -0.8738 6.0693" Properties=species:S:1:pos:R:3 pbc="T T T"
Ca 4.3340 0.0037 1.5959
Au 5.2561 4.7983 5.7854
Au 4.6470 2.6658 7.4444
Au 1.4134 0.0138 2.8485
Au 2.0224 2.1463 1.1894
Sr 3.3347 2.4061 4.3169
```

- crystal system = orthorhombic
- energy relative to the elements (eV/atom) = -0.72
- SG = Immm (71)
- size of the total moment (μB per atom) = 0.00
- ΔE to the lowest computed polymorph (meV/atom) = 0

---

Compound: SbAsAu2
Source: Alexandria via LeMat-Bulk
Functional: PBE-GGA
Structure: optimized geometry

Geometry as extended XYZ:
```
4
Lattice="-2.9316 -1.0870 -0.4907 0.4991 -2.3010 2.1151 -2.8298 4.9161 6.0162" Properties=species:S:1:pos:R:3 pbc="T T T"
Sb -1.9237 -0.4650 2.3162
Au -2.7669 4.8069 5.8824
Au -1.4778 2.5673 3.1418
As -3.3386 1.9931 5.3243
```

- crystal system = tetragonal
- SG = P4/mmm (123)
- size of the total moment (μB per atom) = 0.00
- ΔE to the lowest computed polymorph (meV/atom) = 172

---

Compound: RbTmZn2Cl8
Source: Alexandria via LeMat-Bulk
Functional: PBE-GGA
Structure: optimized geometry

Geometry as extended XYZ:
```
12
Lattice="-2.3954 2.4847 -5.4502 -6.3844 0.4635 -0.8006 -2.7772 10.1266 2.0193" Properties=species:S:1:pos:R:3 pbc="T T T"
Tm 0.0000 0.0000 0.0000
Cl -3.7002 3.2326 -3.3025
Cl -4.4278 10.3850 -2.2633
Cl -7.1291 2.6899 -1.9682
Cl -7.8567 9.8423 -0.9290
Cl -2.8586 5.1422 -0.2172
Cl -4.8957 8.8808 1.1059
Cl -8.6983 7.9327 -4.0143
Zn -8.6654 9.9487 -3.1097
Zn -2.8916 3.1262 -1.1218
Rb -5.7785 6.5374 -2.1157
Cl -6.6612 4.1940 -5.3373
```

- crystal system = trigonal
- SG = R-3 (148)
- size of the total moment (μB per atom) = 0.00
- electronic total energy (eV per atom) = -3.546

---

Compound: KPaCoS4
Source: Alexandria via LeMat-Bulk
Functional: PBE-GGA
Structure: optimized geometry

Geometry as extended XYZ:
```
14
Lattice="-0.9751 4.4619 4.6880 1.6768 -3.8233 3.9876 8.4209 0.8831 -2.6942" Properties=species:S:1:pos:R:3 pbc="T T T"
Co 3.8441 -1.5255 3.1898
S 3.3613 1.9817 2.5763
S 6.7535 -1.2595 0.2108
Co 5.2785 3.0472 2.7916
S 5.7613 -0.4600 3.4052
S 6.8090 2.2677 1.4008
K 8.5065 1.2690 3.9087
K 0.6161 0.2527 2.0728
S 2.3691 2.7812 5.7707
Pa 4.2938 0.8218 5.2513
S 7.5602 -3.0989 2.1293
S 1.5624 4.6207 3.8522
Pa 4.8287 0.6999 0.7302
S 2.3136 -0.7460 4.5807
```

- crystal system = monoclinic
- SG = P2_1/m (11)
- size of the total moment (μB per atom) = 0.26
- electronic total energy (eV per atom) = -6.038

---

Compound: NiRh2
Source: Alexandria via LeMat-Bulk
Functional: PBE-GGA
Structure: optimized geometry

Geometry as extended XYZ:
```
6
Lattice="-0.4586 -0.3223 -2.6211 5.9565 -11.3749 0.3564 -2.2472 -1.2028 -0.8294" Properties=species:S:1:pos:R:3 pbc="T T T"
Ni 0.0461 -0.0881 0.0028
Rh 2.1884 -8.6406 -2.0615
Rh 2.9570 -5.6469 0.1769
Rh 4.1308 -10.1191 -0.8490
Ni -0.8573 -2.8244 -2.2437
Rh 1.0146 -4.1683 -1.0355
```

- crystal system = trigonal
- energy relative to the elements (eV/atom) = 0.05
- SG = P-3m1 (164)
- size of the total moment (μB per atom) = 0.28
- ΔE to the lowest computed polymorph (meV/atom) = 13

---

Compound: UNi4H8Rh
Source: Alexandria via LeMat-Bulk
Functional: PBE-GGA
Structure: optimized geometry

Geometry as extended XYZ:
```
14
Lattice="5.3141 0.0000 0.0000 2.6571 4.6022 0.0000 2.6571 1.5341 4.5746" Properties=species:S:1:pos:R:3 pbc="T T T"
H 3.6374 2.1001 3.1831
Ni 6.6803 5.3475 2.2567
H 2.6571 1.5341 1.6227
H 3.9591 3.8504 1.2818
H 5.3141 1.5035 1.2818
U 5.3141 3.0681 4.0751
H 7.9712 4.6022 3.3216
Ni 7.9712 3.1116 2.2567
H 6.9908 2.1001 3.1831
Ni 9.2621 5.3475 2.2567
H 6.6691 3.8504 1.2818
H 5.3141 5.0042 3.1831
Rh 7.9712 4.6022 0.0303
Ni 5.3141 3.0681 0.5203
```

- crystal system = trigonal
- SG = R3m (160)
- size of the total moment (μB per atom) = 0.20
- electronic total energy (eV per atom) = -4.922

---

Compound: MgAlW2
Source: Alexandria via LeMat-Bulk
Functional: PBE-GGA
Structure: optimized geometry

Geometry as extended XYZ:
```
8
Lattice="-0.4469 -2.0946 6.8792 1.0800 -6.8339 -2.0106 2.9680 -4.1262 2.7095" Properties=species:S:1:pos:R:3 pbc="T T T"
Mg 0.3165 -4.4642 2.4343
W 2.7978 -11.0201 6.2589
W 0.5903 -3.2295 4.8393
W 1.3685 -5.5299 0.1669
Al 0.0000 0.0000 0.0000
Al 1.4188 -5.3425 6.0115
Mg 2.1823 -7.7122 1.5666
W 2.4456 -6.3298 3.8911
```

- crystal system = tetragonal
- energy relative to the elements (eV/atom) = 0.94
- SG = I-42d (122)
- size of the total moment (μB per atom) = 0.00
- ΔE to the lowest computed polymorph (meV/atom) = 790

---

Compound: Dy2HoTm4
Source: Alexandria via LeMat-Bulk
Functional: PBE-GGA
Structure: optimized geometry

Geometry as extended XYZ:
```
14
Lattice="8.1650 -0.0155 1.6325 -0.4182 9.4560 -2.3666 -2.6227 -6.6075 6.6330" Properties=species:S:1:pos:R:3 pbc="T T T"
Tm 1.8635 1.8303 2.6253
Ho -0.1767 2.9951 0.1722
Dy 3.5895 -2.7315 5.5998
Tm 1.5369 -1.5591 3.1513
Dy 4.8550 1.3553 0.9952
Dy -1.4503 -1.0851 4.7826
Dy 4.0507 7.3852 -0.6888
Ho -1.0696 2.3431 4.1009
Tm 0.3668 -4.2101 4.9445
Tm 6.2889 6.0413 1.4927
Tm 4.3443 0.4180 4.4438
Tm 3.0360 4.4737 0.8314
Tm 7.2210 -0.1552 2.9775
Tm 4.8698 3.6664 3.5470
```

- crystal system = triclinic
- energy relative to the elements (eV/atom) = 0.08
- SG = P1 (1)
- size of the total moment (μB per atom) = 0.00
- ΔE to the lowest computed polymorph (meV/atom) = 79